PmTmGa2Rh2: relaxed, PBE-GGA.

Cell and atoms, written as POSCAR:
```
PmTmGa2Rh2
1.0
4.411 0.000 0.000
-2.205 3.820 0.000
0.000 0.000 7.097
Pm Tm Ga Rh
1 1 2 2
Direct
0.000 0.000 0.000
0.000 0.000 0.500
0.667 0.333 0.729
0.333 0.667 0.271
0.667 0.333 0.288
0.333 0.667 0.712
```

Results
Density, Mg/m³: 9.2
Energy relative to the elements, eV/atom: -0.8192
Total magnetic moment, μB per formula unit: 0.00
DOS at the Fermi energy, states/eV/cell: 4.08

---

Pm2TmGa3Rh4: relaxed, PBE-GGA.

Cell and atoms, written as POSCAR:
```
Pm2TmGa3Rh4
1.0
4.271 0.000 0.000
0.000 4.271 0.000
0.000 0.000 10.852
Pm Tm Ga Rh
2 1 3 4
Direct
0.500 0.000 0.222
0.000 0.500 0.778
0.500 0.500 0.500
0.000 0.000 0.500
0.500 0.000 0.882
0.000 0.500 0.118
0.500 0.500 0.000
0.000 0.000 0.000
0.500 0.000 0.651
0.000 0.500 0.349
```

Results
Density, Mg/m³: 9.1
Energy relative to the elements, eV/atom: -0.8043
Total magnetic moment, μB per formula unit: 0.00
DOS at the Fermi energy, states/eV/cell: 6.14

---

Pm2UGaRh6: relaxed, PBE-GGA.

Cell and atoms, written as POSCAR:
```
Pm2UGaRh6
1.0
1.193 6.922 -3.993
3.017 -2.870 -4.069
-2.043 -0.340 -5.441
Pm U Ga Rh
2 1 1 6
Direct
0.351 0.783 0.433
0.649 0.217 0.567
0.500 0.500 0.000
0.000 0.000 0.000
0.255 0.755 0.996
0.745 0.751 0.005
0.255 0.249 0.501
0.745 0.245 0.004
0.255 0.249 0.995
0.745 0.751 0.499
```

Results
Density, Mg/m³: 9.4
Energy relative to the elements, eV/atom: -0.4437
Total magnetic moment, μB per formula unit: 0.00
DOS at the Fermi energy, states/eV/cell: 6.43

---

Pm2Y2GaRh4: relaxed, PBE-GGA.

Cell and atoms, written as POSCAR:
```
Pm2Y2GaRh4
1.0
6.458 0.041 0.059
-3.064 5.685 -0.059
-3.064 -2.052 5.302
Pm Y Ga Rh
2 2 1 4
Direct
0.000 0.686 0.686
0.000 0.314 0.314
0.500 0.750 0.250
0.500 0.250 0.750
0.000 0.000 0.000
0.000 0.743 0.257
0.485 0.743 0.743
0.000 0.257 0.743
0.515 0.257 0.257
```

Results
Density, Mg/m³: 8.0
Energy relative to the elements, eV/atom: -0.4250
Total magnetic moment, μB per formula unit: 0.00
DOS at the Fermi energy, states/eV/cell: 6.98